Li2MnSiO4: relaxed, PBE+U.

Properties
Calculated volume in Å³/atom: 10.877
Energy above the lowest structure with this stoichiometry in meV per atom: 18
SG: I-42m (121)
Total energy in eV per atom: -6.893

Cell: 5.3188 5.3188 5.3188 Å, 129.64 129.64 73.98°
Closest atoms and distances in Å follow each position.
Atoms (fractional coordinates):
Li1 0.2500 0.7500 0.5000  4 O 1.99
Li2 0.7500 0.2500 0.5000  4 O 1.99
Mn1 0.0000 0.0000 0.0000  4 O 2.09
Si1 0.5000 0.5000 0.0000  4 O 1.66
O1 0.1758 0.1758 0.5799  1 Si 1.66
O2 0.4041 0.8242 0.0000  1 Si 1.66
O3 0.5959 0.5959 0.4201  1 Si 1.66
O4 0.8242 0.4041 0.0000  1 Si 1.66